# 1
{
  "formula": "TePdIO",
  "functional": "PBE-GGA",
  "state": "optimized geometry",
  "lattice": [[-0.410, -2.899, 2.728], [3.212, 2.583, 1.433], [-4.941, 4.759, 1.202]],
  "species": ["I", "Pd", "O", "Te"],
  "fractional_positions": [[0.959, 0.249, 0.704], [0.623, 0.336, 0.983], [0.121, 0.780, 0.205], [0.227, 0.240, 0.220]],
  "formation_energy_uncorrected_ev_per_atom": -0.30,
  "dft_energy_ev_per_atom": -4.0069
}

***

# 2
{
  "formula": "TlPdIO2",
  "functional": "PBE-GGA",
  "state": "optimized geometry",
  "lattice": [[4.306, 0.000, 0.000], [0.000, 4.306, 0.000], [0.000, 0.000, 5.521]],
  "species": ["O", "O", "I", "Pd", "Tl"],
  "fractional_positions": [[0.500, 0.000, 0.000], [0.000, 0.500, 0.000], [0.000, 0.000, 0.500], [0.000, 0.000, 0.000], [0.500, 0.500, 0.500]],
  "formation_energy_uncorrected_ev_per_atom": 0.15,
  "dft_energy_ev_per_atom": -3.6585
}

***

# 3
{
  "formula": "TlPdIO2",
  "functional": "PBE-GGA",
  "state": "optimized geometry",
  "lattice": [[4.061, 0.000, 0.000], [0.000, 4.061, 0.000], [0.000, 0.000, 7.453]],
  "species": ["Pd", "O", "O", "I", "Tl"],
  "fractional_positions": [[0.500, 0.500, 0.500], [0.500, 0.000, 0.000], [0.000, 0.500, 0.000], [0.000, 0.000, 0.500], [0.000, 0.000, 0.000]],
  "formation_energy_uncorrected_ev_per_atom": 0.28,
  "dft_energy_ev_per_atom": -3.5256
}